Record 1
DFT (meta-GGA SCAN) results for Ba4Sm2Cd3S10 at its PBEsol-relaxed geometry.

Properties
calculated volume	985.8	Å³/cell
uncorrected formation energy	-182	kJ per mole of atoms

Cell lengths 4.163, 9.172, 26.512 Å; angles 90.00, 90.00, 103.12 degrees
Sites, in units of the cell vectors:
Ba  0.404  0.809  0.339
Ba  0.596  0.191  0.839
Ba  0.425  0.850  0.157
Ba  0.575  0.150  0.657
Ba  0.836  0.671  0.609
Ba  0.164  0.329  0.109
Ba  0.837  0.675  0.892
Ba  0.163  0.325  0.392
Sm  0.497  0.993  0.499
Sm  0.503  0.007  0.999
Sm  0.918  0.836  0.754
Sm  0.082  0.164  0.254
Cd  0.782  0.564  0.232
Cd  0.218  0.436  0.732
Cd  0.840  0.679  0.461
Cd  0.160  0.321  0.961
Cd  0.846  0.692  0.045
Cd  0.154  0.308  0.545
S  0.579  0.157  0.323
S  0.421  0.843  0.823
S  0.594  0.187  0.183
S  0.406  0.813  0.683
S  0.654  0.309  0.490
S  0.346  0.691  0.990
S  0.658  0.316  0.018
S  0.342  0.684  0.518
S  0.763  0.526  0.770
S  0.237  0.474  0.270
S  0.788  0.576  0.377
S  0.212  0.424  0.877
S  0.793  0.586  0.132
S  0.207  0.414  0.632
S  0.928  0.855  0.247
S  0.072  0.145  0.747
S  0.984  0.967  0.431
S  0.016  0.033  0.931
S  0.010  0.021  0.572
S  0.990  0.979  0.072

***

Record 2
DFT (meta-GGA SCAN) results for Cu3Pt at its PBEsol-relaxed geometry.

Properties
energy relative to the elements	-0.47	eV per formula unit
calculated volume	198.3	Å³/cell

Cell lengths 4.573, 5.167, 8.393 Å; angles 90.00, 90.00, 90.00 degrees
Sites, in units of the cell vectors:
Cu  0.578  0.121  0.750
Cu  0.245  0.634  0.002
Cu  0.245  0.634  0.498
Cu  0.255  0.134  0.502
Cu  0.255  0.134  0.998
Cu  0.922  0.621  0.250
Cu  0.078  0.379  0.750
Cu  0.745  0.866  0.002
Cu  0.745  0.866  0.498
Cu  0.755  0.366  0.502
Cu  0.755  0.366  0.998
Cu  0.422  0.879  0.250
Pt  0.425  0.389  0.250
Pt  0.075  0.889  0.750
Pt  0.925  0.111  0.250
Pt  0.575  0.611  0.750

***

Record 3
DFT (meta-GGA SCAN) results for ReRh at its PBEsol-relaxed geometry.

Properties
energy relative to the elements	-0.37	eV per formula unit
relative energy among the computed polymorphs	0.030	eV/atom
calculated volume	111.2	Å³/cell

Cell lengths 4.326, 4.721, 5.443 Å; angles 90.24, 90.00, 90.00 degrees
Sites, in units of the cell vectors:
Re  0.000  0.956  0.063
Re  0.500  0.292  0.061
Re  0.500  0.798  0.315
Re  0.500  0.289  0.564
Rh  0.000  0.458  0.311
Rh  0.000  0.960  0.564
Rh  0.000  0.458  0.816
Rh  0.500  0.789  0.807

***

Record 4
DFT (meta-GGA SCAN) results for IrPt2 at its PBEsol-relaxed geometry.

Properties
energy relative to the elements	0.27	eV per formula unit
relative energy among the computed polymorphs	0.000	eV/atom
calculated volume	44.0	Å³/cell

Cell lengths 2.759, 2.759, 6.677 Å; angles 90.00, 90.00, 120.00 degrees
Sites, in units of the cell vectors:
Ir  0.000  0.000  0.000
Pt  0.667  0.333  0.329
Pt  0.333  0.667  0.671

***

Record 5
DFT (meta-GGA SCAN) results for Li3BiO4 at its PBEsol-relaxed geometry.

Properties
calculated volume	329.0	Å³/cell
uncorrected formation energy	-154	kJ per mole of atoms

Cell lengths 7.533, 7.533, 7.533 Å; angles 109.47, 109.47, 109.47 degrees
Sites, in units of the cell vectors:
Li  0.480  0.480  0.763
Li  0.480  0.763  0.480
Li  0.237  0.717  0.717
Li  0.283  0.000  0.520
Li  0.283  0.520  0.000
Li  0.717  0.717  0.237
Li  0.717  0.237  0.717
Li  0.520  0.283  0.000
Li  0.520  0.000  0.283
Li  0.000  0.283  0.520
Li  0.000  0.520  0.283
Li  0.763  0.480  0.480
Bi  0.282  0.282  0.282
Bi  0.718  0.000  0.000
Bi  0.000  0.000  0.718
Bi  0.000  0.718  0.000
O  0.244  0.496  0.496
O  0.251  0.251  0.756
O  0.251  0.756  0.251
O  0.768  0.768  0.768
O  0.000  0.000  0.232
O  0.000  0.232  0.000
O  0.496  0.496  0.244
O  0.504  0.000  0.749
O  0.496  0.244  0.496
O  0.504  0.749  0.000
O  0.756  0.251  0.251
O  0.749  0.000  0.504
O  0.749  0.504  0.000
O  0.232  0.000  0.000
O  0.000  0.504  0.749
O  0.000  0.749  0.504

***

Record 6
DFT (meta-GGA SCAN) results for ScPW at its PBEsol-relaxed geometry.

Properties
energy relative to the elements	-1.34	eV per formula unit
calculated volume	48.3	Å³/cell

Cell lengths 3.173, 3.173, 5.296 Å; angles 107.43, 107.43, 90.00 degrees
Sites, in units of the cell vectors:
P  0.972  0.972  0.944
Sc  0.663  0.663  0.326
W  0.365  0.365  0.730

***

Record 7
DFT (meta-GGA SCAN) results for ZnNi2As at its PBEsol-relaxed geometry.

Properties
energy relative to the elements	0.34	eV per formula unit
relative energy among the computed polymorphs	0.000	eV/atom
calculated volume	49.9	Å³/cell

Cell lengths 4.132, 4.132, 4.132 Å; angles 60.00, 60.00, 60.00 degrees
Sites, in units of the cell vectors:
As  0.500  0.500  0.500
Ni  0.000  0.000  0.000
Ni  0.750  0.750  0.750
Zn  0.250  0.250  0.250

***

Record 8
DFT (meta-GGA SCAN) results for CrReW2 at its PBEsol-relaxed geometry.

Properties
energy relative to the elements	0.08	eV per formula unit
relative energy among the computed polymorphs	0.028	eV/atom
calculated volume	57.6	Å³/cell

Cell lengths 3.069, 4.340, 5.078 Å; angles 115.30, 107.59, 90.00 degrees
Sites, in units of the cell vectors:
Re  0.248  0.748  0.497
W  0.002  0.002  0.004
W  0.754  0.254  0.507
Cr  0.496  0.496  0.992

***

Record 9
DFT (meta-GGA SCAN) results for K2BeAg at its PBEsol-relaxed geometry.

Properties
energy relative to the elements	1.19	eV per formula unit
calculated volume	136.8	Å³/cell

Cell lengths 4.143, 4.143, 9.506 Å; angles 77.41, 77.41, 60.00 degrees
Sites, in units of the cell vectors:
Be  0.208  0.208  0.375
K  0.964  0.964  0.107
K  0.786  0.786  0.643
Ag  0.542  0.542  0.375

***

Record 10
DFT (meta-GGA SCAN) results for Ca3Fe3Sb2O12 at its PBEsol-relaxed geometry.

Properties
calculated volume	999.5	Å³/cell
uncorrected formation energy	-216	kJ per mole of atoms

Cell lengths 10.909, 10.909, 10.909 Å; angles 109.47, 109.47, 109.47 degrees
Each line ends with the local moment (μB).
Sites, in units of the cell vectors:
Ca  0.750  0.875  0.125  0.00
Ca  0.250  0.125  0.875  0.00
Ca  0.250  0.625  0.375  0.00
Ca  0.875  0.250  0.125  0.00
Ca  0.625  0.750  0.375  0.00
Ca  0.750  0.375  0.625  0.00
Ca  0.125  0.750  0.875  0.00
Ca  0.375  0.250  0.625  0.00
Ca  0.625  0.875  0.750  0.00
Ca  0.375  0.125  0.250  0.00
Ca  0.875  0.625  0.250  0.00
Ca  0.125  0.375  0.750  0.00
Fe  0.750  0.125  0.375  3.91
Fe  0.250  0.875  0.625  3.91
Fe  0.250  0.375  0.125  3.91
Fe  0.625  0.250  0.875  3.91
Fe  0.375  0.750  0.125  3.91
Fe  0.750  0.625  0.875  3.91
Fe  0.875  0.750  0.625  3.91
Fe  0.125  0.250  0.375  3.91
Fe  0.375  0.625  0.750  3.91
Fe  0.625  0.375  0.250  3.91
Fe  0.125  0.875  0.250  3.91
Fe  0.875  0.125  0.750  3.91
Sb  0.000  0.000  0.000  0.01
Sb  0.500  0.000  0.500  0.01
Sb  0.000  0.500  0.500  0.01
Sb  0.500  0.500  0.500  0.01
Sb  0.500  0.500  0.000  0.01
Sb  0.500  0.000  0.000  0.01
Sb  0.000  0.500  0.000  0.01
Sb  0.000  0.000  0.500  0.01
O  0.524  0.823  0.905  0.14
O  0.476  0.177  0.095  0.14
O  0.418  0.619  0.595  0.14
O  0.082  0.677  0.201  0.14
O  0.701  0.082  0.177  0.14
O  0.677  0.976  0.595  0.14
O  0.582  0.381  0.405  0.14
O  0.918  0.323  0.799  0.14
O  0.299  0.918  0.823  0.14
O  0.323  0.024  0.405  0.14
O  0.976  0.881  0.299  0.14
O  0.799  0.976  0.381  0.14
O  0.881  0.082  0.905  0.14
O  0.024  0.119  0.701  0.14
O  0.201  0.024  0.619  0.14
O  0.119  0.918  0.095  0.14
O  0.405  0.524  0.323  0.14
O  0.823  0.418  0.299  0.14
O  0.595  0.476  0.677  0.14
O  0.177  0.582  0.701  0.14
O  0.095  0.418  0.119  0.14
O  0.619  0.524  0.201  0.14
O  0.905  0.582  0.881  0.14
O  0.381  0.476  0.799  0.14
O  0.619  0.095  0.918  0.14
O  0.418  0.799  0.323  0.14
O  0.381  0.905  0.082  0.14
O  0.582  0.201  0.677  0.14
O  0.881  0.799  0.476  0.14
O  0.976  0.095  0.177  0.14
O  0.119  0.201  0.524  0.14
O  0.024  0.905  0.823  0.14
O  0.677  0.701  0.582  0.14
O  0.082  0.405  0.381  0.14
O  0.323  0.299  0.418  0.14
O  0.918  0.595  0.619  0.14
O  0.823  0.405  0.024  0.14
O  0.524  0.701  0.119  0.14
O  0.177  0.595  0.976  0.14
O  0.476  0.299  0.881  0.14
O  0.701  0.619  0.024  0.14
O  0.299  0.381  0.976  0.14
O  0.799  0.823  0.918  0.14
O  0.201  0.177  0.082  0.14
O  0.095  0.677  0.476  0.14
O  0.905  0.323  0.524  0.14
O  0.405  0.881  0.582  0.14
O  0.595  0.119  0.418  0.14

***

> What is the calculated volume in the fourth record?

44.0 Å³/cell